## Cu4W3 (PBE)

Data for a relaxed structure of Cu4W3.

Values from the calculation:
DFT total energy = -7.312 eV per atom
V = 15.28 A^3/atom
symmetry = P6/mmm, No. 191
total magnetization = 0.000 μB per atom
energy of formation from the pure elements = 55.9 kJ/mol of atoms

Cell: 5.093 5.093 4.761 Å, 90.00 90.00 120.00°
Sites, in units of the cell vectors:
1 Cu 0.000 0.000 0.250
2 Cu 0.000 0.000 0.750
3 Cu 0.333 0.667 0.000
4 Cu 0.667 0.333 0.000
5 W 0.000 0.500 0.500
6 W 0.500 0.000 0.500
7 W 0.500 0.500 0.500